# 1
Computed, not measured: a relaxed TlHPd3 crystal at the PBE-GGA level of DFT.

Cell: 3.1386 3.1386 17.5966 Å, 90.00 90.00 120.00°
With the nearest neighbours (Å) after each atom.
Sites, in units of the cell vectors:
Pd: 0.0000 0.0000 0.2500  3 H 1.81
Pd: 0.6667 0.3333 0.1242  1 H 2.21
Pd: 0.3333 0.6667 0.8758  1 H 2.21
Pd: 0.0000 0.0000 0.7500  3 H 1.81
Pd: 0.3333 0.6667 0.6242  1 H 2.21
Pd: 0.6667 0.3333 0.3758  1 H 2.21
H: 0.6667 0.3333 0.2500  3 Pd 1.81
H: 0.3333 0.6667 0.7500  3 Pd 1.81
Tl: 0.0000 0.0000 0.0000  6 Pd 2.84, 6 Tl 3.14
Tl: 0.0000 0.0000 0.5000  6 Pd 2.84, 6 Tl 3.14

Output
Its crystal system is hexagonal. The calculation puts the energy above the lowest structure with this stoichiometry at 0.252 eV/atom. For the calculated volume, the calculation gives 150 Å³/cell. For the final energy, the calculation gives -4.2668 eV/atom.

---

# 2
Computed, not measured: a relaxed Tl2H2Pd crystal at the PBE-GGA level of DFT.

Cell: 3.4197 3.4197 7.0502 Å, 75.96 75.96 90.00°
With the nearest neighbours (Å) after each atom.
Sites, in units of the cell vectors:
Pd: 0.0000 0.0000 0.0000  8 Tl 3.02
H: 0.7500 0.2500 0.5000  4 Tl 2.28, 4 H 2.42
H: 0.2500 0.7500 0.5000  4 Tl 2.28, 4 H 2.42
Tl: 0.6360 0.6360 0.7280  4 H 2.28
Tl: 0.3640 0.3640 0.2720  4 H 2.28

Output
Its crystal system is tetragonal. The calculation puts the energy above the lowest structure with this stoichiometry at 0.070 eV/atom. For the calculated volume, the calculation gives 77 Å³/cell. For the final energy, the calculation gives -2.9518 eV/atom.

---

# 3
Computed, not measured: a relaxed Tl2HPd3 crystal at the PBE-GGA level of DFT.

Cell: 3.5030 6.1167 9.4718 Å, 90.00 100.66 90.00°
With the nearest neighbours (Å) after each atom.
Sites, in units of the cell vectors:
Pd: 0.8116 0.7500 0.6232  2 H 1.88
Pd: 0.4061 0.0042 0.8122  1 H 1.90
Pd: 0.4061 0.4958 0.8122  1 H 1.90
Pd: 0.1884 0.2500 0.3768  2 H 1.88
Pd: 0.5939 0.9958 0.1878  1 H 1.90
Pd: 0.5939 0.5042 0.1878  1 H 1.90
Tl: 0.1910 0.7500 0.3821  8 Pd 2.85-3.06, 1 H 2.92
Tl: 0.8090 0.2500 0.6179  8 Pd 2.85-3.06, 1 H 2.92
Tl: 0.9986 0.7500 0.9971  8 Pd 2.91, 2 Tl 3.06
Tl: 0.0014 0.2500 0.0029  8 Pd 2.91, 2 Tl 3.06
H: 0.6522 0.2500 0.3044  4 Pd 1.88-1.90
H: 0.3478 0.7500 0.6956  4 Pd 1.88-1.90

Output
Its crystal system is orthorhombic. The calculation puts the energy above the lowest structure with this stoichiometry at 0.000 eV/atom. For the calculated volume, the calculation gives 199 Å³/cell. For the final energy, the calculation gives -4.0426 eV/atom.

---

# 4
Computed, not measured: a relaxed TlH2Pd crystal at the PBE-GGA level of DFT.

Cell: 4.1203 4.1203 4.1203 Å, 60.00 60.00 60.00°
With the nearest neighbours (Å) after each atom.
Sites, in units of the cell vectors:
H: 0.2500 0.2500 0.2500  4 Tl 2.52, 4 Pd 2.52
H: 0.7500 0.7500 0.7500  4 Tl 2.52, 4 Pd 2.52
Pd: 0.0000 0.0000 0.0000  8 H 2.52
Tl: 0.5000 0.5000 0.5000  8 H 2.52

Output
Its crystal system is cubic. The calculation puts the energy above the lowest structure with this stoichiometry at 0.784 eV/atom. For the calculated volume, the calculation gives 49 Å³/cell. For the final energy, the calculation gives -2.8193 eV/atom.

---

# 5
Computed, not measured: a relaxed TlHPd3 crystal at the PBE-GGA level of DFT.

Cell: 5.8309 4.8007 5.8297 Å, 90.01 120.00 89.99°
With the nearest neighbours (Å) after each atom.
Sites, in units of the cell vectors:
Pd: 0.9083 0.6329 0.3515  1 H 1.86
Pd: 0.5734 0.1329 0.1842  1 H 1.86
Pd: 0.5734 0.1330 0.6870  1 H 1.86
Pd: 0.9083 0.6330 0.8543  1 H 1.86
Pd: 0.0763 0.1329 0.6870  1 H 1.86
Pd: 0.4055 0.6330 0.3515  1 H 1.86
Tl: 0.0743 0.1351 0.1860  12 Pd 2.91-2.94
Tl: 0.4074 0.6351 0.8525  12 Pd 2.91-2.94
H: 0.7406 0.4728 0.5190  3 Pd 1.86
H: 0.7412 0.9728 0.5196  3 Pd 1.86

Output
Its crystal system is hexagonal. The calculation puts the energy above the lowest structure with this stoichiometry at 0.061 eV/atom. For the calculated volume, the calculation gives 141 Å³/cell. For the final energy, the calculation gives -4.4577 eV/atom.

---

# 6
Computed, not measured: a relaxed TlHPd3 crystal at the PBE-GGA level of DFT.

Cell: 4.6172 4.6172 8.0615 Å, 90.00 90.00 120.00°
With the nearest neighbours (Å) after each atom.
Sites, in units of the cell vectors:
Pd: 0.3333 0.6667 0.4202  1 Tl 2.66, 3 H 2.74, 4 Pd 2.74-2.96
Pd: 0.0000 0.0000 0.7500  2 H 2.02
Pd: 0.0000 0.0000 0.2500  2 H 2.02
Pd: 0.3333 0.6667 0.0798  1 Tl 2.66, 3 H 2.74, 4 Pd 2.74-2.96
Pd: 0.6667 0.3333 0.9202  1 Tl 2.66, 3 H 2.74, 4 Pd 2.74-2.96
Pd: 0.6667 0.3333 0.5798  1 Tl 2.66, 3 H 2.74, 4 Pd 2.74-2.96
H: 0.0000 0.0000 0.0000  2 Pd 2.02
H: 0.0000 0.0000 0.5000  2 Pd 2.02
Tl: 0.3333 0.6667 0.7500  5 Pd 2.66-2.67
Tl: 0.6667 0.3333 0.2500  5 Pd 2.66-2.67

Output
Its crystal system is hexagonal. The calculation puts the energy above the lowest structure with this stoichiometry at 0.314 eV/atom. For the calculated volume, the calculation gives 149 Å³/cell. For the final energy, the calculation gives -4.2053 eV/atom.